[1]
VASP calculation (PBE) on an optimized crystal structure of BaNpAg2Te4.

Cell: 7.5082 8.1094 8.9022 Å, 90.00 90.00 90.00°
Space group I222 (No. 23)
Inequivalent atoms, fractional coordinates:
Ba (0.0000, 0.0000, 0.0000)
Np (0.0000, 0.0000, 0.5000)
Ag (0.0000, 0.5000, 0.1643)
Te (0.2237, 0.2219, 0.3008)

Properties
Final energy, eV/atom: -4.68

[2]
VASP calculation (PBE) on an optimized crystal structure of Ba2AgO.

Cell: 14.4513 6.2679 6.4540 Å, 90.00 90.08 90.00°
Space group C2/c (No. 15)
Inequivalent atoms, fractional coordinates:
Ba (0.1004, 0.2042, 0.0003)
Ag (0.2500, 0.2500, 0.5000)
O (0.0000, 0.9997, 0.2500)

Properties
Final energy, eV/atom: -4.20

[3]
VASP calculation (PBE) on an optimized crystal structure of Ba4Ag2O.

Cell: 7.8550 8.1141 9.3764 Å, 90.00 107.04 90.00°
Space group P2_1/m (No. 11)
Inequivalent atoms, fractional coordinates:
Ba (0.0195, 0.0126, 0.2493)
Ba (0.4096, 0.2500, 0.5785)
Ba (0.4312, 0.2500, 0.1320)
Ag (0.2133, 0.7500, 0.5480)
Ag (0.2434, 0.7500, 0.0646)
O (0.2380, 0.2500, 0.3054)

Properties
Energy above the lowest structure with this stoichiometry, eV per formula unit: 0.00

[4]
VASP calculation (PBE) on an optimized crystal structure of Ba2AgO.

Cell: 4.1503 4.1503 24.0357 Å, 90.00 90.00 120.00°
Space group R-3m (No. 166, hexagonal axes)
Inequivalent atoms, fractional coordinates:
Ba (0.0000, 0.0000, 0.2309)
Ag (0.0000, 0.0000, 0.0000)
O (0.0000, 0.0000, 0.5000)

Properties
Final energy, eV/atom: -4.07

[5]
VASP calculation (PBE) on an optimized crystal structure of BaAg2O3.

Cell: 4.5664 11.4124 4.2620 Å, 90.00 90.00 90.00°
Space group Pmmn (No. 59, origin choice 2)
Inequivalent atoms, fractional coordinates:
Ba (0.2500, 0.2500, 0.1001)
Ag (0.2500, 0.5860, 0.4023)
O (0.2500, 0.0859, 0.5811)
O (0.2500, 0.7500, 0.1865)

Properties
Final energy, eV/atom: -4.70

[6]
VASP calculation (PBE) on an optimized crystal structure of Ba2AgO.

Cell: 4.1218 4.1218 24.3669 Å, 90.00 90.00 120.00°
Space group R3m (No. 160, hexagonal axes)
Inequivalent atoms, fractional coordinates:
Ba (0.0000, 0.0000, 0.0000)
Ba (0.0000, 0.0000, 0.2049)
Ag (0.0000, 0.0000, 0.7730)
O (0.0000, 0.0000, 0.6135)

Properties
Final energy, eV/atom: -4.07

[7]
VASP calculation (PBE) on an optimized crystal structure of BaAg3O.

Cell: 6.2441 6.2441 6.2441 Å, 90.00 90.00 90.00°
Space group Pm-3m (No. 221)
Inequivalent atoms, fractional coordinates:
Ba (0.0000, 0.0000, 0.0000)
Ag (0.0000, 0.0000, 0.5000)
O (0.5000, 0.5000, 0.5000)

Properties
Energy above the lowest structure with this stoichiometry, eV per formula unit: 7.56

[8]
VASP calculation (PBE) on an optimized crystal structure of Ba6Ag3O.

Cell: 13.1688 16.5878 7.9192 Å, 90.00 90.00 90.00°
Space group Cmc2_1 (No. 36)
Inequivalent atoms, fractional coordinates:
Ba (0.0000, 0.0560, 0.0000)
Ba (0.0000, 0.2221, 0.5919)
Ba (0.1533, 0.2676, 0.0572)
Ba (0.1665, 0.4741, 0.5793)
Ag (0.0000, 0.3951, 0.2934)
Ag (0.1661, 0.1034, 0.3583)
O (0.0000, 0.2039, 0.9135)

Properties
Final energy, eV/atom: -3.13

[9]
VASP calculation (PBE) on an optimized crystal structure of Ba2AgO4.

Cell: 4.2300 4.2300 13.2324 Å, 90.00 90.00 90.00°
Space group I4/mmm (No. 139)
Inequivalent atoms, fractional coordinates:
Ba (0.0000, 0.0000, 0.1418)
Ag (0.0000, 0.0000, 0.5000)
O (0.0000, 0.0000, 0.3417)
O (0.0000, 0.5000, 0.0000)

Properties
Final energy, eV/atom: -5.31

[10]
VASP calculation (PBE) on an optimized crystal structure of Ba6Ag2O.

Cell: 7.7153 8.6374 13.4208 Å, 90.00 123.76 90.00°
Space group P2_1/c (No. 14)
Inequivalent atoms, fractional coordinates:
Ba (0.1135, 0.0286, 0.2325)
Ba (0.2144, 0.6996, 0.0581)
Ba (0.3648, 0.1669, 0.0572)
Ag (0.2966, 0.1057, 0.7494)
O (0.0000, 0.0000, 0.0000)

Properties
Final energy, eV/atom: -3.10

[11]
VASP calculation (PBE) on an optimized crystal structure of Ba2AgO.

Cell: 7.6851 7.6851 9.4094 Å, 90.00 90.00 90.00°
Space group I-42d (No. 122)
Inequivalent atoms, fractional coordinates:
Ba (0.1593, 0.7500, 0.1250)
Ag (0.0000, 0.0000, 0.5000)
O (0.0000, 0.0000, 0.0000)

Properties
Final energy, eV/atom: -4.17

| no. | volume (Å³ per cell) | density (g/cm3) |
| --- | --- | --- |
| 1 | 542.03 | 6.7 |
| 2 | 584.59 | 4.5 |
| 3 | 571.38 | 4.5 |
| 4 | 358.54 | 5.5 |
| 5 | 222.11 | 6.0 |
| 6 | 358.57 | 5.5 |
| 7 | 243.45 | 3.3 |
| 8 | 1729.87 | 4.5 |
| 9 | 236.76 | 6.3 |
| 10 | 743.59 | 4.7 |
| 11 | 555.72 | 4.8 |